# 1
Here is a relaxed structure of Dy3AlTl4Se8 from the Alexandria database. Energies are from GGA-PBE.

The energy relative to the elements, uncorrected comes out at -1.170 eV/atom. The value obtained for the total energy is -220.84 eV/cell. The crystal system is trigonal.

The structure belongs to space group R-3m (No. 166, hexagonal axes); the cell edges are 8.2158, 8.2158 and 23.3314 Å and the angles 90.00°, 90.00° and 120.00°. The distinct sites, in fractional coordinates, are Dy at (0.0000, 0.5000, 0.0000), Al at (0.0000, 0.0000, 0.0000), Tl at (0.0000, 0.0000, 0.5000), Tl at (0.0000, 0.5000, 0.5000), Se at (0.0000, 0.0000, 0.2646) and Se at (0.0225, 0.5113, 0.7315).

=====

# 2
Here is a relaxed structure of TaPCl2 from the Alexandria database. Energies are from GGA-PBE.

The energy above the lowest structure with this stoichiometry is 12.18 kcal/mol of atoms. The energy relative to the elements, uncorrected comes out at -0.120 eV/atom. The value obtained for the total energy is -64.31 eV/cell. The crystal system is trigonal.

The structure belongs to space group R-3m (No. 166, hexagonal axes); the cell edges are 3.0312, 3.0312 and 34.4026 Å and the angles 90.00°, 90.00° and 120.00°. The distinct sites, in fractional coordinates, are Ta at (0.0000, 0.0000, 0.0000), P at (0.0000, 0.0000, 0.5000) and Cl at (0.0000, 0.0000, 0.3866).

=====

# 3
Here is a relaxed structure of HoCd3Pt4 from the Alexandria database. Energies are from GGA-PBE.

The calculation puts the energy relative to the elements at -0.591 eV per atom. The value obtained for the total energy is -72.43 eV/cell. The crystal system is orthorhombic.

The structure belongs to space group Pmma (No. 51); the cell edges are 9.734, 6.044 and 4.987 Å and the angles 90.00°, 90.00° and 90.00°. The distinct sites, in fractional coordinates, are Ho at (0.000, 0.000, 0.000), Cd at (0.000, 0.500, 0.000), Cd at (0.250, 0.000, 0.415), Cd at (0.250, 0.500, 0.399), Pt at (0.000, 0.254, 0.500) and Pt at (0.250, 0.259, 0.895).

=====

# 4
Here is a relaxed structure of Zn2P3 from the Alexandria database. Energies are from GGA-PBE.

The energy above the lowest structure with this stoichiometry is 3.57 kcal/mol of atoms. The calculation puts the energy relative to the elements at 0.201 eV per atom. The value obtained for the total energy is -142.17 eV/cell. The crystal system is orthorhombic.

The structure belongs to space group Fdd2 (No. 43); the cell edges are 9.856, 13.630 and 5.490 Å and the angles 90.00°, 90.00° and 90.00°. The distinct sites, in fractional coordinates, are Zn at (0.081, 0.232, 0.000), P at (0.000, 0.000, 0.408) and P at (0.108, 0.166, 0.393).

=====

# 5
Here is a relaxed structure of LiCoCl from the Alexandria database. Energies are from GGA-PBE.

The energy above the lowest structure with this stoichiometry is 0.00 kcal/mol of atoms. The energy relative to the elements, uncorrected comes out at -0.109 eV/atom. The value obtained for the total energy is -11.19 eV/cell. The crystal system is trigonal.

The structure belongs to space group P3m1 (No. 156); the cell edges are 3.1134, 3.1134 and 5.5699 Å and the angles 90.00°, 90.00° and 120.00°. The distinct sites, in fractional coordinates, are Li at (0.0000, 0.0000, 0.0000), Co at (0.3333, 0.6667, 0.6126) and Cl at (0.6667, 0.3333, 0.3123).

=====

# 6
Here is a relaxed structure of Tb3ThNi8 from the Alexandria database. Energies are from GGA-PBE.

The calculation puts the energy relative to the elements at -0.419 eV per atom. The value obtained for the total energy is -217.77 eV/cell. The crystal system is trigonal.

The structure belongs to space group R3m (No. 160, hexagonal axes); the cell edges are 5.1059, 5.1059 and 25.0303 Å and the angles 90.00°, 90.00° and 120.00°. The distinct sites, in fractional coordinates, are Tb at (0.0000, 0.0000, 0.0000), Tb at (0.0000, 0.0000, 0.1233), Tb at (0.0000, 0.0000, 0.4938), Th at (0.0000, 0.0000, 0.6205), Ni at (0.0000, 0.0000, 0.3094), Ni at (0.0000, 0.0000, 0.8091), Ni at (0.0014, 0.5007, 0.5592) and Ni at (0.1669, 0.3339, 0.3926).

=====

# 7
Here is a relaxed structure of Tb3Ho4Er from the Alexandria database. Energies are from GGA-PBE.

The energy above the lowest structure with this stoichiometry is 4.32 kcal/mol of atoms. The calculation puts the energy relative to the elements at 0.193 eV per atom. The value obtained for the total energy is -70.45 eV/cell. The crystal system is orthorhombic.

The structure belongs to space group Cmmm (No. 65); the cell edges are 5.593, 25.920 and 3.532 Å and the angles 90.00°, 90.00° and 90.00°. The distinct sites, in fractional coordinates, are Tb at (0.000, 0.000, 0.000), Tb at (0.000, 0.154, 0.500), Ho at (0.000, 0.277, 0.000), Ho at (0.000, 0.397, 0.000) and Er at (0.000, 0.500, 0.500).

=====

# 8
Here is a relaxed structure of Ca6Pd2O from the Alexandria database. Energies are from GGA-PBE.

The energy relative to the elements, uncorrected comes out at -0.986 eV/atom. The value obtained for the total energy is -72.46 eV/cell. The crystal system is monoclinic.

The structure belongs to space group P2_1/c (No. 14); the cell edges are 6.639, 7.504 and 11.492 Å and the angles 90.00°, 123.75° and 90.00°. The distinct sites, in fractional coordinates, are Ca at (0.120, 0.034, 0.239), Ca at (0.218, 0.698, 0.060), Ca at (0.363, 0.162, 0.057), Pd at (0.290, 0.105, 0.752) and O at (0.000, 0.000, 0.000).

=====

# 9
Here is a relaxed structure of TlNiW2 from the Alexandria database. Energies are from GGA-PBE.

The energy above the lowest structure with this stoichiometry is 4.22 kcal/mol of atoms. The calculation puts the energy relative to the elements at 0.674 eV per atom. The value obtained for the total energy is -31.36 eV/cell. The crystal system is orthorhombic.

The structure belongs to space group Pmmm (No. 47); the cell edges are 2.802, 4.095 and 5.760 Å and the angles 90.00°, 90.00° and 90.00°. The distinct sites, in fractional coordinates, are Tl at (0.000, 0.000, 0.000), Ni at (0.000, 0.000, 0.500) and W at (0.500, 0.500, 0.285).

=====

# 10
Here is a relaxed structure of Li2BeCl from the Alexandria database. Energies are from GGA-PBE.

The energy above the lowest structure with this stoichiometry is 2.06 kcal/mol of atoms. The energy relative to the elements, uncorrected comes out at -0.279 eV/atom. The value obtained for the total energy is -10.52 eV/cell. The crystal system is tetragonal.

The structure belongs to space group P4mm (No. 99); the cell edges are 3.334, 3.334 and 7.381 Å and the angles 90.00°, 90.00° and 90.00°. The distinct sites, in fractional coordinates, are Li at (0.000, 0.000, 0.000), Li at (0.500, 0.500, 0.285), Be at (0.000, 0.000, 0.419) and Cl at (0.500, 0.500, 0.957).

=====

# 11
Here is a relaxed structure of Y3SnP2Rh9 from the Alexandria database. Energies are from GGA-PBE.

The calculation puts the energy relative to the elements at -0.650 eV per atom. The value obtained for the total energy is -110.13 eV/cell. The crystal system is trigonal.

The structure belongs to space group P-3m1 (No. 164); the cell edges are 6.0642, 6.0642 and 9.2830 Å and the angles 90.00°, 90.00° and 120.00°. The distinct sites, in fractional coordinates, are Y at (0.0000, 0.0000, 0.0000), Y at (0.3333, 0.6667, 0.7253), Sn at (0.0000, 0.0000, 0.5000), P at (0.3333, 0.6667, 0.1593), Rh at (0.0000, 0.5000, 0.0000) and Rh at (0.1498, 0.2996, 0.2677).

=====

# 12
Here is a relaxed structure of KLa2YTe4 from the Alexandria database. Energies are from GGA-PBE.

The energy relative to the elements, uncorrected comes out at -1.433 eV/atom. The value obtained for the total energy is -41.45 eV/cell. The crystal system is monoclinic.

The structure belongs to space group P2/m (No. 10); the cell edges are 7.911, 4.550 and 8.034 Å and the angles 90.00°, 108.88° and 90.00°. The distinct sites, in fractional coordinates, are K at (0.000, 0.000, 0.000), La at (0.500, 0.000, 0.500), La at (0.500, 0.500, 0.000), Y at (0.000, 0.500, 0.500), Te at (0.242, 0.000, 0.737) and Te at (0.252, 0.500, 0.264).

=====

# 13
Here is a relaxed structure of AcCuAs2 from the Alexandria database. Energies are from GGA-PBE.

The energy above the lowest structure with this stoichiometry is 13.50 kcal/mol of atoms. The calculation puts the energy relative to the elements at -0.215 eV per atom. The value obtained for the total energy is -18.36 eV/cell. The crystal system is tetragonal.

The structure belongs to space group P4/mmm (No. 123); the cell edges are 3.726, 3.726 and 6.451 Å and the angles 90.00°, 90.00° and 90.00°. The distinct sites, in fractional coordinates, are Ac at (0.000, 0.000, 0.000), Cu at (0.000, 0.000, 0.500) and As at (0.500, 0.500, 0.308).

=====

# 14
Here is a relaxed structure of Zn3CuAu12 from the Alexandria database. Energies are from GGA-PBE.

The calculation puts the energy relative to the elements at -0.089 eV per atom. The value obtained for the total energy is -48.68 eV/cell. The crystal system is tetragonal.

The structure belongs to space group P4/mmm (No. 123); the cell edges are 4.138, 4.138 and 16.043 Å and the angles 90.00°, 90.00° and 90.00°. The distinct sites, in fractional coordinates, are Zn at (0.000, 0.000, 0.000), Zn at (0.000, 0.000, 0.253), Cu at (0.000, 0.000, 0.500), Au at (0.000, 0.500, 0.126), Au at (0.000, 0.500, 0.377), Au at (0.500, 0.500, 0.000), Au at (0.500, 0.500, 0.252) and Au at (0.500, 0.500, 0.500).

=====

# 15
Here is a relaxed structure of Dy6C2Cl3O from the Alexandria database. Energies are from GGA-PBE.

The energy relative to the elements, uncorrected comes out at -1.427 eV/atom. The value obtained for the total energy is -147.36 eV/cell. The crystal system is monoclinic.

The structure belongs to space group C2/m (No. 12); the cell edges are 6.242, 10.816 and 7.069 Å and the angles 90.00°, 107.15° and 90.00°. The distinct sites, in fractional coordinates, are Dy at (0.227, 0.000, 0.187), Dy at (0.230, 0.332, 0.187), C at (0.000, 0.166, 0.000), Cl at (0.000, 0.000, 0.500), Cl at (0.000, 0.331, 0.500) and O at (0.000, 0.500, 0.000).

=====

# 16
Here is a relaxed structure of CuB2H from the Alexandria database. Energies are from GGA-PBE.

The energy above the lowest structure with this stoichiometry is 0.00 kcal/mol of atoms. The value obtained for the total energy is -73.70 eV/cell. The crystal system is tetragonal.

The structure belongs to space group I4_1/amd (No. 141, origin choice 2); the cell edges are 3.282, 3.282 and 11.388 Å and the angles 90.00°, 90.00° and 90.00°. The distinct sites, in fractional coordinates, are Cu at (0.000, 0.250, 0.375), B at (0.000, 0.000, 0.000) and H at (0.000, 0.250, 0.875).

=====

# 17
Here is a relaxed structure of LiBe3 from the Alexandria database. Energies are from GGA-PBE.

The energy above the lowest structure with this stoichiometry is 3.12 kcal/mol of atoms. The calculation puts the energy relative to the elements at 0.164 eV per atom. The value obtained for the total energy is -37.31 eV/cell. The crystal system is trigonal.

The structure belongs to space group R-3m (No. 166, hexagonal axes); the cell edges are 2.3008, 2.3008 and 23.8548 Å and the angles 90.00°, 90.00° and 120.00°. The distinct sites, in fractional coordinates, are Li at (0.0000, 0.0000, 0.0000), Be at (0.0000, 0.0000, 0.2437) and Be at (0.0000, 0.0000, 0.5000).

=====

# 18
Here is a relaxed structure of TiBeCo2H from the Alexandria database. Energies are from GGA-PBE.

The energy above the lowest structure with this stoichiometry is 0.13 kcal/mol of atoms. The value obtained for the total energy is -30.15 eV/cell. The crystal system is tetragonal.

The structure belongs to space group P4/mmm (No. 123); the cell edges are 3.740, 3.740 and 3.293 Å and the angles 90.00°, 90.00° and 90.00°. The distinct sites, in fractional coordinates, are Ti at (0.000, 0.000, 0.000), Be at (0.500, 0.500, 0.000), Co at (0.000, 0.500, 0.500) and H at (0.500, 0.500, 0.500).

=====

# 19
Here is a relaxed structure of V2Fe7TcGe2 from the Alexandria database. Energies are from GGA-PBE.

The calculation puts the energy relative to the elements at 0.040 eV per atom. The value obtained for the total energy is -193.20 eV/cell. The crystal system is orthorhombic.

The structure belongs to space group Cmmm (No. 65); the cell edges are 5.022, 5.071 and 11.872 Å and the angles 90.00°, 90.00° and 90.00°. The distinct sites, in fractional coordinates, are V at (0.000, 0.000, 0.169), Fe at (0.000, 0.000, 0.500), Fe at (0.000, 0.266, 0.000), Fe at (0.250, 0.250, 0.345), Tc at (0.000, 0.500, 0.500) and Ge at (0.000, 0.500, 0.196).

=====

# 20
Here is a relaxed structure of RbScNi2 from the Alexandria database. Energies are from GGA-PBE.

The energy above the lowest structure with this stoichiometry is 0.00 kcal/mol of atoms. The calculation puts the energy relative to the elements at 0.693 eV per atom. The value obtained for the total energy is -64.37 eV/cell. The crystal system is tetragonal.

The structure belongs to space group I-42d (No. 122); the cell edges are 7.523, 7.523 and 6.563 Å and the angles 90.00°, 90.00° and 90.00°. The distinct sites, in fractional coordinates, are Rb at (0.000, 0.000, 0.000), Sc at (0.000, 0.000, 0.500) and Ni at (0.193, 0.750, 0.625).

=====

| no. | total magnetization (μB per cell) |
| --- | --- |
| 1 | 0.000 |
| 2 | 0.000 |
| 3 | 0.000 |
| 4 | 0.000 |
| 5 | 1.795 |
| 6 | 0.000 |
| 7 | 0.000 |
| 8 | 0.000 |
| 9 | 0.000 |
| 10 | 0.000 |
| 11 | 0.000 |
| 12 | 0.000 |
| 13 | 0.000 |
| 14 | 0.000 |
| 15 | 0.000 |
| 16 | 0.000 |
| 17 | 0.000 |
| 18 | 0.000 |
| 19 | 15.574 |
| 20 | 0.000 |